(1)
The following is a GGA-PBE calculation of an optimized crystal structure of CaTe2Pd, from Alexandria.

- Energy relative to the lowest polymorph listed for this composition: 0.000 eV per atom
- Formation energy (no corrections): -632 meV per atom
- Spin magnetization: 0.000 Bohr magnetons per cell
- SG: I-42d, No. 122

a b c (Å): 5.8675 5.8675 8.8744
angles (deg): 70.70 70.70 90.00
Last column: nearest neighbours and their distance in Å.
Positions (direct):
Te1 0.3750 0.3028 0.7500  2 Pd 2.66
Te2 0.0528 0.6250 0.2500  2 Pd 2.66
Te3 0.6972 0.1250 0.2500  2 Pd 2.66
Te4 0.8750 0.9472 0.7500  2 Pd 2.66
Pd1 0.0000 0.0000 0.0000  4 Te 2.66
Pd2 0.7500 0.2500 0.5000  4 Te 2.66
Ca1 0.5000 0.5000 0.0000  4 Te 3.09
Ca2 0.2500 0.7500 0.5000  4 Te 3.09


(2)
The following is a GGA-PBE calculation of an optimized crystal structure of LiDyHoSc, from Alexandria.

- Spin magnetization: 0.000 Bohr magnetons per cell
- SG: F-43m, No. 216
- Energy relative to the elements: 0.155 eV per atom

a b c (Å): 5.3185 5.3185 5.3185
angles (deg): 60.00 60.00 60.00
Last column: nearest neighbours and their distance in Å.
Positions (direct):
Ho1 0.2500 0.2500 0.2500  4 Li 3.26, 4 Sc 3.26
Sc1 0.5000 0.5000 0.5000  4 Ho 3.26, 4 Dy 3.26
Li1 0.0000 0.0000 0.0000  4 Ho 3.26, 4 Dy 3.26
Dy1 0.7500 0.7500 0.7500  4 Sc 3.26, 4 Li 3.26


(3)
The following is a GGA-PBE calculation of an optimized crystal structure of LiFe2Sb, from Alexandria.

- Formation energy (no corrections): 246 meV per atom
- Spin magnetization: 4.968 Bohr magnetons per cell
- SG: C2/m, No. 12

a b c (Å): 4.5938 5.2816 2.8927
angles (deg): 75.07 87.86 115.13
Last column: nearest neighbours and their distance in Å.
Positions (direct):
Fe1 0.0000 0.0000 0.0000  2 Li 2.66, 2 Sb 2.66, 6 Fe 2.67-2.89
Fe2 0.5000 0.0000 0.5000  2 Sb 2.66, 2 Li 2.66, 6 Fe 2.67-2.89
Li1 0.0000 0.5000 0.5000  4 Fe 2.66, 4 Sb 2.67-2.76, 2 Li 2.89
Sb1 0.5000 0.5000 0.0000  4 Fe 2.66, 4 Li 2.67-2.76, 2 Sb 2.89


(4)
The following is a GGA-PBE calculation of an optimized crystal structure of Dy2Ho2Hg, from Alexandria.

- Energy relative to the lowest polymorph listed for this composition: 0.000 eV per atom
- Spin magnetization: 0.008 Bohr magnetons per cell
- SG: I4/mmm, No. 139
- Energy relative to the elements: -0.176 eV per atom

a b c (Å): 3.5554 3.5554 11.7663
angles (deg): 98.69 98.69 90.00
Last column: nearest neighbours and their distance in Å.
Positions (direct):
Dy1 0.8038 0.8038 0.6076  8 Dy 3.53-3.56, 4 Ho 3.54
Dy2 0.1962 0.1962 0.3924  8 Dy 3.53-3.56, 4 Ho 3.54
Ho1 0.5876 0.5876 0.1753  4 Hg 3.22, 4 Dy 3.54, 4 Ho 3.56
Ho2 0.4124 0.4124 0.8247  4 Hg 3.22, 4 Dy 3.54, 4 Ho 3.56
Hg1 0.0000 0.0000 0.0000  8 Ho 3.22, 4 Hg 3.56


(5)
The following is a GGA-PBE calculation of an optimized crystal structure of Li2TaW, from Alexandria.

- Energy relative to the lowest polymorph listed for this composition: 0.128 eV per atom
- Spin magnetization: 0.000 Bohr magnetons per cell
- SG: P4mm, No. 99
- Energy relative to the elements: 0.365 eV per atom

a b c (Å): 2.6846 2.6846 9.5828
angles (deg): 90.00 90.00 90.00
Last column: nearest neighbours and their distance in Å.
Positions (direct):
Li1 0.0000 0.0000 0.9901  4 Li 2.68, 4 W 2.96
Li2 0.5000 0.5000 0.2485  4 Li 2.68
Ta1 0.0000 0.0000 0.5088  4 Ta 2.68
W1 0.5000 0.5000 0.7525  4 W 2.68, 4 Li 2.96


(6)
The following is a GGA-PBE calculation of an optimized crystal structure of Mg4InSb, from Alexandria.

- Formation energy (no corrections): 22 meV per atom
- Spin magnetization: 0.000 Bohr magnetons per cell
- SG: F-43m, No. 216

a b c (Å): 5.8972 5.8972 5.8972
angles (deg): 60.00 60.00 60.00
Last column: nearest neighbours and their distance in Å.
Positions (direct):
In1 0.0000 0.0000 0.0000  12 Mg 3.46, 4 Sb 3.61
Mg1 0.3753 0.3753 0.8741  6 Mg 2.94-2.96
Mg2 0.3753 0.3753 0.3753  6 Mg 2.94-2.96
Mg3 0.3753 0.8741 0.3753  6 Mg 2.94-2.96
Mg4 0.8741 0.3753 0.3753  6 Mg 2.94-2.96
Sb1 0.7500 0.7500 0.7500  12 Mg 3.46, 4 In 3.61


(7)
The following is a GGA-PBE calculation of an optimized crystal structure of Pm2Pr6NdMg, from Alexandria.

- Spin magnetization: 0.000 Bohr magnetons per cell
- SG: C2/c, No. 15
- Energy relative to the elements: 0.096 eV per atom

a b c (Å): 9.6324 8.7386 8.7386
angles (deg): 105.59 96.32 96.32
Last column: nearest neighbours and their distance in Å.
Positions (direct):
Pr1 0.0956 0.6708 0.4354  2 Mg 3.28-3.46, 3 Pr 3.36-3.60, 2 Pm 3.56-3.60
Pr2 0.4249 0.2637 0.9206  3 Pr 3.42-3.57, 1 Pm 3.47, 1 Mg 3.66, 2 Nd 3.74-3.75
Pr3 0.9044 0.3292 0.5646  2 Mg 3.28-3.46, 3 Pr 3.36-3.60, 2 Pm 3.56-3.60
Pr4 0.0751 0.0794 0.7363  3 Pr 3.42-3.57, 1 Pm 3.47, 1 Mg 3.66, 2 Nd 3.74-3.75
Pr5 0.8271 0.4620 0.0328  1 Mg 3.31, 1 Nd 3.32, 3 Pr 3.46-3.60, 2 Pm 3.61-3.63
Pr6 0.1729 0.5380 0.9672  1 Mg 3.31, 1 Nd 3.32, 3 Pr 3.46-3.60, 2 Pm 3.61-3.63
Pr7 0.6729 0.9672 0.5380  1 Mg 3.31, 1 Nd 3.32, 3 Pr 3.46-3.60, 2 Pm 3.61-3.63
Pr8 0.3271 0.0328 0.4620  1 Mg 3.31, 1 Nd 3.32, 3 Pr 3.46-3.60, 2 Pm 3.61-3.63
Pr9 0.9249 0.9206 0.2637  3 Pr 3.42-3.57, 1 Pm 3.47, 1 Mg 3.66, 2 Nd 3.74-3.75
Pr10 0.5956 0.4354 0.6708  2 Mg 3.28-3.46, 3 Pr 3.36-3.60, 2 Pm 3.56-3.60
Pr11 0.5751 0.7363 0.0794  3 Pr 3.42-3.57, 1 Pm 3.47, 1 Mg 3.66, 2 Nd 3.74-3.75
Pr12 0.4044 0.5646 0.3292  2 Mg 3.28-3.46, 3 Pr 3.36-3.60, 2 Pm 3.56-3.60
Nd1 0.7500 0.0646 0.9354  2 Pr 3.32, 2 Pm 3.41
Nd2 0.2500 0.9354 0.0646  2 Pr 3.32, 2 Pm 3.41
Mg1 0.2500 0.4007 0.5993  8 Pr 3.28-3.66, 2 Pm 3.45
Mg2 0.7500 0.5993 0.4007  8 Pr 3.28-3.66, 2 Pm 3.45
Pm1 0.9068 0.7327 0.7969  2 Nd 3.41-3.78, 1 Mg 3.45, 6 Pr 3.47-3.76
Pm2 0.0932 0.2673 0.2031  2 Nd 3.41-3.78, 1 Mg 3.45, 6 Pr 3.47-3.76
Pm3 0.4068 0.7969 0.7327  2 Nd 3.41-3.78, 1 Mg 3.45, 6 Pr 3.47-3.76
Pm4 0.5932 0.2031 0.2673  2 Nd 3.41-3.78, 1 Mg 3.45, 6 Pr 3.47-3.76


(8)
The following is a GGA-PBE calculation of an optimized crystal structure of Co3NiP, from Alexandria.

- Energy relative to the lowest polymorph listed for this composition: 0.000 eV per atom
- Spin magnetization: 4.344 Bohr magnetons per cell
- SG: Pm-3m, No. 221
- Energy relative to the elements: 0.449 eV per atom

a b c (Å): 4.0824 4.0824 4.0824
angles (deg): 90.00 90.00 90.00
Last column: nearest neighbours and their distance in Å.
Positions (direct):
P1 0.0000 0.0000 0.0000  6 Co 2.04
Co1 0.5000 0.0000 0.0000  2 P 2.04
Co2 0.0000 0.5000 0.0000  2 P 2.04
Co3 0.0000 0.0000 0.5000  2 P 2.04
Ni1 0.5000 0.5000 0.5000  12 Co 2.89


(9)
The following is a GGA-PBE calculation of an optimized crystal structure of Sc4CuNi, from Alexandria.

- Energy relative to the lowest polymorph listed for this composition: 0.221 eV per atom
- Spin magnetization: 0.000 Bohr magnetons per cell
- SG: C2/m, No. 12
- Energy relative to the elements: -0.063 eV per atom

a b c (Å): 4.4728 4.4750 6.3474
angles (deg): 89.94 89.97 90.00
Last column: nearest neighbours and their distance in Å.
Positions (direct):
Sc1 0.5015 0.9977 0.7399  2 Ni 2.71, 2 Cu 2.77
Sc2 0.0015 0.4976 0.7400  2 Ni 2.71-2.72, 2 Cu 2.77
Sc3 0.5011 0.9968 0.2562  2 Ni 2.71, 2 Cu 2.77
Sc4 0.0011 0.4969 0.2563  2 Ni 2.71-2.72, 2 Cu 2.77
Cu1 0.5013 0.4973 0.9983  8 Sc 2.77
Ni1 0.0012 0.9975 0.4980  8 Sc 2.71-2.72


(10)
The following is a GGA-PBE calculation of an optimized crystal structure of SrHfCd2, from Alexandria.

- Energy relative to the lowest polymorph listed for this composition: 0.290 eV per atom
- Spin magnetization: 0.000 Bohr magnetons per cell
- SG: I-42d, No. 122
- Energy relative to the elements: 0.425 eV per atom

a b c (Å): 8.2860 8.2860 6.8462
angles (deg): 52.76 52.76 90.00
Last column: nearest neighbours and their distance in Å.
Positions (direct):
Hf1 0.7500 0.2500 0.5000  4 Cd 2.85
Hf2 0.0000 0.0000 0.0000  4 Cd 2.85
Cd1 0.0851 0.6250 0.2500  2 Hf 2.85
Cd2 0.8750 0.9149 0.7500  2 Hf 2.85
Cd3 0.6649 0.1250 0.2500  2 Hf 2.85
Cd4 0.3750 0.3351 0.7500  2 Hf 2.85
Sr1 0.2500 0.7500 0.5000  4 Cd 3.29, 2 Hf 3.54
Sr2 0.5000 0.5000 0.0000  4 Cd 3.29, 2 Hf 3.54


(11)
The following is a GGA-PBE calculation of an optimized crystal structure of Sn5Bi, from Alexandria.

- Energy relative to the lowest polymorph listed for this composition: 0.050 eV per atom
- Spin magnetization: 0.000 Bohr magnetons per cell
- SG: C2/m, No. 12
- Energy relative to the elements: 0.088 eV per atom

a b c (Å): 8.0058 8.0058 6.9303
angles (deg): 77.76 77.76 23.47
Last column: nearest neighbours and their distance in Å.
Positions (direct):
Bi1 0.5000 0.5000 0.5000  2 Bi 3.26, 10 Sn 3.47-3.54
Sn1 0.8319 0.8319 0.8400  10 Sn 3.26-3.52, 2 Bi 3.53
Sn2 0.5000 0.5000 0.0000  10 Sn 3.26-3.54, 2 Bi 3.47
Sn3 0.1711 0.1711 0.6660  10 Sn 3.26-3.54, 2 Bi 3.54
Sn4 0.1681 0.1681 0.1600  10 Sn 3.26-3.52, 2 Bi 3.53
Sn5 0.8289 0.8289 0.3340  10 Sn 3.26-3.54, 2 Bi 3.54


(12)
The following is a GGA-PBE calculation of an optimized crystal structure of CoAs3C, from Alexandria.

- Energy relative to the lowest polymorph listed for this composition: 0.000 eV per atom
- Spin magnetization: 0.839 Bohr magnetons per cell
- SG: Pm-3m, No. 221
- Energy relative to the elements: 1.222 eV per atom

a b c (Å): 4.2467 4.2467 4.2467
angles (deg): 90.00 90.00 90.00
Last column: nearest neighbours and their distance in Å.
Positions (direct):
As1 0.0000 0.0000 0.5000  2 C 2.12
As2 0.0000 0.5000 0.0000  2 C 2.12
As3 0.5000 0.0000 0.0000  2 C 2.12
Co1 0.5000 0.5000 0.5000  12 As 3.00
C1 0.0000 0.0000 0.0000  6 As 2.12